## Tm4TlAu3 (PBE)

Data for Tm4TlAu3 after structural relaxation.

Geometry as POSCAR:
```
Tm4TlAu3
1.0
-1.189 2.996 -1.575
-4.519 -2.235 -0.842
-3.367 3.406 9.022
Tl Tm Au
1 4 3
direct
0.500 0.500 0.000
0.000 0.000 0.500
0.000 0.500 0.737
0.000 0.000 0.000
0.000 0.500 0.263
0.500 0.000 0.247
0.500 0.500 0.500
0.500 0.000 0.753
```

Total DFT energy (no corrections) in eV per cell: -35.944
DOS(E_F) in states/eV/f.u.: 3.57
Total magnetization in μB per formula unit: 0.0
ΔH_f (0 K) in meV per atom: -732
Space-group type: Pmmm (47)

## Tm7Tl4Au (PBE)

Data for Tm7Tl4Au after structural relaxation.

Geometry as POSCAR:
```
Tm7Tl4Au
1.0
-2.325 1.532 4.646
5.736 -2.258 6.772
2.526 7.270 2.024
Tm Tl Au
7 4 1
direct
0.785 0.866 0.565
0.215 0.134 0.435
0.074 0.693 0.159
0.926 0.307 0.841
0.350 0.580 0.721
0.500 0.000 0.000
0.650 0.420 0.279
0.575 0.219 0.630
0.425 0.781 0.370
0.716 0.657 0.911
0.284 0.343 0.089
0.000 0.000 0.000
```

Total DFT energy (no corrections) in eV per cell: -45.552
DOS(E_F) in states/eV/f.u.: 9.80
Total magnetization in μB per formula unit: 0.0
ΔH_f (0 K) in meV per atom: -126
Space-group type: C2/m (12)

## Tm2TlAu (PBE)

Data for Tm2TlAu after structural relaxation.

Geometry as POSCAR:
```
Tm2TlAu
1.0
-0.858 3.264 1.778
0.162 0.198 3.806
7.976 3.571 1.386
Tl Tm Au
1 2 1
direct
0.500 0.500 0.500
0.260 0.260 0.221
0.740 0.740 0.779
0.000 0.000 0.000
```

Total DFT energy (no corrections) in eV per cell: -16.495
DOS(E_F) in states/eV/f.u.: 3.68
Total magnetization in μB per formula unit: 0.0
ΔH_f (0 K) in meV per atom: -477
Space-group type: R-3m (166)

## TmTl2Au (PBE)

Data for TmTl2Au after structural relaxation.

Geometry as POSCAR:
```
TmTl2Au
1.0
3.499 0.000 0.000
1.749 3.030 0.000
1.749 1.010 10.683
Tl Tm Au
2 1 1
direct
0.097 0.097 0.708
0.903 0.903 0.292
0.000 0.000 0.000
0.500 0.500 0.500
```

Total DFT energy (no corrections) in eV per cell: -12.011
DOS(E_F) in states/eV/f.u.: 3.19
Total magnetization in μB per formula unit: 0.0
Energy above the most stable polymorph in this dataset in meV/atom: 395.4
ΔH_f (0 K) in meV per atom: 118
Space-group type: R-3m (166)

## Tm4Tl3Au (PBE)

Data for Tm4Tl3Au after structural relaxation.

Geometry as POSCAR:
```
Tm4Tl3Au
1.0
3.562 0.000 0.000
0.000 3.562 0.000
0.000 0.000 16.067
Tl Tm Au
3 4 1
direct
0.500 0.500 0.240
0.500 0.500 0.500
0.500 0.500 0.760
0.000 0.000 0.891
0.000 0.000 0.109
0.000 0.000 0.369
0.000 0.000 0.631
0.500 0.500 0.000
```

Total DFT energy (no corrections) in eV per cell: -31.866
DOS(E_F) in states/eV/f.u.: 4.62
Total magnetization in μB per formula unit: 0.2
ΔH_f (0 K) in meV per atom: -450
Space-group type: P4/mmm (123)

## UTlAu2 (PBE)

Data for UTlAu2 after structural relaxation.

Geometry as POSCAR:
```
UTlAu2
1.0
-3.300 -0.074 -0.459
0.373 -2.378 -2.305
-0.686 -5.788 5.862
Au Tl U
2 1 1
direct
0.000 0.000 0.758
0.000 0.000 0.242
0.500 0.500 0.500
0.500 0.500 0.000
```

Total DFT energy (no corrections) in eV per cell: -20.318
DOS(E_F) in states/eV/f.u.: 7.67
Total magnetization in μB per formula unit: 3.0
ΔH_f (0 K) in meV per atom: -27
Space-group type: P4/mmm (123)

## Tl2VAu (PBE)

Data for Tl2VAu after structural relaxation.

Geometry as POSCAR:
```
Tl2VAu
1.0
7.858 0.000 0.000
0.000 7.858 0.000
3.929 3.929 3.038
Tl Au V
4 2 2
direct
0.627 0.125 0.250
0.123 0.625 0.250
0.375 0.373 0.750
0.875 0.877 0.750
0.000 0.000 0.000
0.750 0.250 0.500
0.500 0.500 0.000
0.250 0.750 0.500
```

Total DFT energy (no corrections) in eV per cell: -30.190
DOS(E_F) in states/eV/f.u.: 4.21
Total magnetization in μB per formula unit: 3.0
Energy above the most stable polymorph in this dataset in meV/atom: 64.8
ΔH_f (0 K) in meV per atom: 508
Space-group type: I-42d (122)

## Tl2VAu2 (PBE)

Data for Tl2VAu2 after structural relaxation.

Geometry as POSCAR:
```
Tl2VAu2
1.0
-5.964 -2.703 3.081
4.057 -4.669 3.757
0.354 2.922 3.249
Tl Au V
4 4 2
direct
0.173 0.673 0.500
0.673 0.827 0.500
0.827 0.327 0.500
0.327 0.173 0.500
0.361 0.861 0.000
0.861 0.639 0.000
0.639 0.139 0.000
0.139 0.361 0.000
0.000 0.000 0.000
0.500 0.500 0.000
```

Total DFT energy (no corrections) in eV per cell: -37.599
DOS(E_F) in states/eV/f.u.: 7.27
Total magnetization in μB per formula unit: 3.3
Energy above the most stable polymorph in this dataset in meV/atom: 0.0
ΔH_f (0 K) in meV per atom: 321
Space-group type: P4/mbm (127)

## TlV2Au (PBE)

Data for TlV2Au after structural relaxation.

Geometry as POSCAR:
```
TlV2Au
1.0
7.314 0.000 0.000
0.000 7.314 0.000
3.657 3.657 2.792
Tl Au V
2 2 4
direct
0.000 0.000 0.000
0.750 0.250 0.500
0.500 0.500 0.000
0.250 0.750 0.500
0.610 0.125 0.250
0.140 0.625 0.250
0.375 0.390 0.750
0.875 0.860 0.750
```

Total DFT energy (no corrections) in eV per cell: -42.017
DOS(E_F) in states/eV/f.u.: 4.02
Total magnetization in μB per formula unit: 0.0
ΔH_f (0 K) in meV per atom: 718
Space-group type: I-42d (122)

## Tl2VAu (PBE)

Data for Tl2VAu after structural relaxation.

Geometry as POSCAR:
```
Tl2VAu
1.0
-3.640 0.483 3.322
-4.654 0.746 -1.518
-3.376 -3.586 0.512
Tl Au V
2 1 1
direct
0.250 0.250 0.250
0.750 0.750 0.750
0.500 0.500 0.500
0.000 0.000 0.000
```

Total DFT energy (no corrections) in eV per cell: -15.354
DOS(E_F) in states/eV/f.u.: 3.60
Total magnetization in μB per formula unit: 3.0
Energy above the most stable polymorph in this dataset in meV/atom: 0.0
ΔH_f (0 K) in meV per atom: 444
Space-group type: Fm-3m (225)

## Tl2VAu2 (PBE)

Data for Tl2VAu2 after structural relaxation.

Geometry as POSCAR:
```
Tl2VAu2
1.0
4.195 0.000 0.000
0.000 4.195 0.000
2.097 2.097 6.876
Tl Au V
2 2 1
direct
0.750 0.250 0.500
0.250 0.750 0.500
0.405 0.405 0.190
0.595 0.595 0.810
0.000 0.000 0.000
```

Total DFT energy (no corrections) in eV per cell: -17.746
DOS(E_F) in states/eV/f.u.: 6.19
Total magnetization in μB per formula unit: 3.6
Energy above the most stable polymorph in this dataset in meV/atom: 210.6
ΔH_f (0 K) in meV per atom: 532
Space-group type: I4/mmm (139)

## Tl3VAu (PBE)

Data for Tl3VAu after structural relaxation.

Geometry as POSCAR:
```
Tl3VAu
1.0
-5.086 1.809 -0.449
-1.622 -4.939 -1.523
-0.918 -1.296 5.179
Tl Au V
3 1 1
direct
0.000 0.500 0.000
0.000 0.000 0.500
0.500 0.000 0.000
0.500 0.500 0.500
0.000 0.000 0.000
```

Total DFT energy (no corrections) in eV per cell: -16.317
DOS(E_F) in states/eV/f.u.: 3.37
Total magnetization in μB per formula unit: 4.4
Energy above the most stable polymorph in this dataset in meV/atom: 0.0
ΔH_f (0 K) in meV per atom: 636
Space-group type: Pm-3m (221)